First-principles (GGA-PBE) data for a geometry-optimized MgReTc2 structure, as listed in the Alexandria database.

The space group is Cmmm (No. 65) and the conventional cell measures 2.972, 4.541 and 9.173 Å, with angles of 90.00, 90.00 and 90.00 degrees. The asymmetric unit holds Mg at (0.000, 0.000, 0.000), Re at (0.000, 0.000, 0.500) and Tc at (0.000, 0.500, 0.259).

The density of states at the Fermi level is 4.3 states/eV/f.u. For the total energy, the calculation gives -8.455 eV/atom. The calculation puts the total magnetic moment at 0.00 μB/f.u. As for the formation energy from the elements: 0.24 eV/atom.



First-principles (GGA-PBE) data for a geometry-optimized La2PrSm4Th structure, as listed in the Alexandria database.

The space group is P2/m (No. 10) and the conventional cell measures 6.362, 3.667 and 12.040 Å, with angles of 90.00, 100.10 and 90.00 degrees. The asymmetric unit holds La at (0.000, 0.000, 0.000), La at (0.000, 0.500, 0.500), Pr at (0.500, 0.000, 0.500), Sm at (0.254, 0.500, 0.248), Sm at (0.257, 0.000, 0.757) and Th at (0.500, 0.500, 0.000).

The density of states at the Fermi level is 12.1 states/eV/f.u. For the total energy, the calculation gives -5.092 eV/atom. The calculation puts the total magnetic moment at 0.00 μB/f.u. As for the formation energy from the elements: 0.02 eV/atom.



First-principles (GGA-PBE) data for a geometry-optimized TiNbNi3 structure, as listed in the Alexandria database.

The space group is P2_1/m (No. 11) and the conventional cell measures 4.313, 5.249 and 6.349 Å, with angles of 90.00, 109.83 and 90.00 degrees. The asymmetric unit holds Ti at (0.127, 0.250, 0.256), Nb at (0.122, 0.750, 0.245), Ni at (0.314, 0.000, 0.627) and Ni at (0.498, 0.750, 0.996).

The calculation puts the polymorph energy (0 for the lowest one) at 0.000 eV per atom. The density of states at the Fermi level is 4.8 states/eV/f.u. For the total energy, the calculation gives -7.221 eV/atom. The calculation puts the total magnetic moment at 0.00 μB/f.u. As for the formation energy from the elements: -0.16 eV/atom.



First-principles (GGA-PBE) data for a geometry-optimized Tb6As4P structure, as listed in the Alexandria database.

The space group is Cmcm (No. 63) and the conventional cell measures 4.069, 13.539 and 20.398 Å, with angles of 90.00, 90.00 and 90.00 degrees. The asymmetric unit holds Tb at (0.000, 0.000, 0.000), Tb at (0.000, 0.193, 0.250), Tb at (0.000, 0.275, 0.584), Tb at (0.000, 0.451, 0.166), As at (0.000, 0.090, 0.130), As at (0.000, 0.363, 0.043) and P at (0.000, 0.162, 0.750).

The density of states at the Fermi level is 4.6 states/eV/f.u. For the total energy, the calculation gives -6.071 eV/atom. The calculation puts the total magnetic moment at 0.00 μB/f.u. As for the formation energy from the elements: -1.36 eV/atom.



First-principles (GGA-PBE) data for a geometry-optimized NpP2Pd structure, as listed in the Alexandria database.

The space group is P4/mmm (No. 123) and the conventional cell measures 4.393, 4.393 and 3.453 Å, with angles of 90.00, 90.00 and 90.00 degrees. The asymmetric unit holds Np at (0.000, 0.000, 0.000), P at (0.000, 0.500, 0.500) and Pd at (0.500, 0.500, 0.000).

The density of states at the Fermi level is 6.2 states/eV/f.u. For the total energy, the calculation gives -7.753 eV/atom. The calculation puts the total magnetic moment at 2.68 μB/f.u. As for the formation energy from the elements: -0.51 eV/atom.



First-principles (GGA-PBE) data for a geometry-optimized V2GaNi6 structure, as listed in the Alexandria database.

The space group is C2/m (No. 12) and the conventional cell measures 11.658, 7.407 and 2.530 Å, with angles of 90.00, 102.46 and 90.00 degrees. The asymmetric unit holds V at (0.161, 0.000, 0.158), Ga at (0.000, 0.500, 0.000), Ni at (0.000, 0.177, 0.500) and Ni at (0.175, 0.329, 0.176).

The calculation puts the polymorph energy (0 for the lowest one) at 0.000 eV per atom. The density of states at the Fermi level is 9.5 states/eV/f.u. For the total energy, the calculation gives -6.357 eV/atom. The calculation puts the total magnetic moment at 0.00 μB/f.u. As for the formation energy from the elements: -0.14 eV/atom.



First-principles (GGA-PBE) data for a geometry-optimized La8TbTm5 structure, as listed in the Alexandria database.

The space group is I-4 (No. 82) and the conventional cell measures 9.758, 9.758 and 10.400 Å, with angles of 90.00, 90.00 and 90.00 degrees. The asymmetric unit holds La at (0.068, 0.331, 0.407), La at (0.092, 0.181, 0.748), Tb at (0.000, 0.500, 0.750), Tm at (0.000, 0.000, 0.500) and Tm at (0.107, 0.200, 0.073).

The density of states at the Fermi level is 22.2 states/eV/f.u. For the total energy, the calculation gives -4.496 eV/atom. The calculation puts the total magnetic moment at 0.00 μB/f.u. As for the formation energy from the elements: 0.25 eV/atom.



First-principles (GGA-PBE) data for a geometry-optimized Li2SmSc2In2 structure, as listed in the Alexandria database.

The space group is R-3m (No. 166, hexagonal axes) and the conventional cell measures 4.7635, 4.7635 and 25.5541 Å, with angles of 90.00, 90.00 and 120.00 degrees. The asymmetric unit holds Li at (0.0000, 0.0000, 0.0808), Sm at (0.0000, 0.0000, 0.5000), Sc at (0.0000, 0.0000, 0.3674) and In at (0.0000, 0.0000, 0.2449).

The density of states at the Fermi level is 6.5 states/eV/f.u. For the total energy, the calculation gives -4.033 eV/atom. The calculation puts the total magnetic moment at 0.00 μB/f.u. As for the formation energy from the elements: -0.22 eV/atom.



Question: Look up the formation energy from the elements of the third one.
Answer: -0.16 eV/atom